(w)
VASP calculation (PBE-GGA) on a relaxed structure of Tm5Bi2Pt.

N(E_F) in states/eV/f.u.: 5.6

The structure in extended XYZ format:
```
16
Lattice="-2.554 -0.619 -3.687 5.899 -4.171 -3.386 -4.513 -10.328 4.860" Properties=species:S:1:pos:R:3 pbc="T T T"
Tm -2.757 -8.844 3.394
Tm -2.257 -5.164 2.430
Tm 2.949 -2.086 -1.693
Tm -0.506 -1.738 -2.138
Tm 4.143 -5.654 -1.921
Tm -1.945 -7.479 -0.177
Tm 0.629 -9.930 1.231
Tm 0.756 -4.569 0.243
Tm 0.777 -7.638 -2.036
Tm -0.662 -13.380 -0.075
Bi -2.346 -3.982 -0.486
Bi 1.178 -11.135 -1.727
Bi 1.304 -4.465 -2.934
Bi -2.472 -10.653 0.721
Pt 0.000 0.000 0.000
Pt 0.693 -7.249 0.737
```

(x)
VASP calculation (PBE-GGA) on a relaxed structure of Tm5Bi2Pt.

N(E_F) in states/eV/f.u.: 7.7

The structure in extended XYZ format:
```
16
Lattice="5.443 0.000 0.000 -2.721 7.903 0.000 0.000 0.000 13.619" Properties=species:S:1:pos:R:3 pbc="T T T"
Tm 0.000 1.252 5.228
Tm 2.721 3.265 12.704
Tm 0.000 4.638 5.894
Tm 2.721 3.265 7.724
Tm 2.721 6.652 12.037
Tm 0.000 4.638 0.915
Tm 0.000 1.252 1.581
Tm 0.000 4.408 10.214
Tm 2.721 3.495 3.405
Tm 2.721 6.652 8.390
Bi 2.721 6.033 1.412
Bi 0.000 1.870 8.222
Bi 0.000 1.870 12.206
Bi 2.721 6.033 5.397
Pt 2.721 4.662 10.214
Pt 0.000 3.241 3.405
```

Least stable: (x)

(w)
VASP calculation (PBE-GGA) on a relaxed structure of Tm3BiPt.

N(E_F) in states/eV/f.u.: 3.2

The structure in extended XYZ format:
```
20
Lattice="-2.884 -0.434 3.238 5.659 -0.098 5.027 -0.929 16.385 1.367" Properties=species:S:1:pos:R:3 pbc="T T T"
Pt -1.238 7.151 4.254
Pt 1.977 0.295 6.199
Pt -0.132 15.558 3.433
Pt 3.083 8.701 5.378
Tm 3.292 15.330 6.452
Tm -1.012 6.562 1.444
Tm 2.312 3.025 6.863
Tm -0.467 12.827 2.769
Tm -0.593 4.403 4.460
Tm 2.438 11.449 5.171
Tm 0.830 8.909 3.399
Tm -1.447 0.522 3.180
Tm 2.857 9.291 8.187
Tm -0.265 14.491 6.104
Tm 2.110 1.361 3.528
Tm 1.015 6.944 6.233
Bi 2.540 4.773 4.368
Bi -0.695 11.080 5.264
Bi -0.193 3.129 1.713
Bi 2.039 12.724 7.919
```

(x)
VASP calculation (PBE-GGA) on a relaxed structure of Tm3BiPt.

N(E_F) in states/eV/f.u.: 3.8

The structure in extended XYZ format:
```
10
Lattice="4.182 0.000 0.000 -2.091 7.732 0.104 0.000 -0.460 8.474" Properties=species:S:1:pos:R:3 pbc="T T T"
Tm 0.000 3.790 2.459
Tm 0.000 5.611 8.127
Tm 2.091 1.661 0.451
Tm 0.000 0.419 6.014
Tm 2.091 6.853 2.565
Tm 2.091 3.482 6.119
Bi 0.000 5.773 4.938
Bi 2.091 1.498 3.640
Pt 0.000 2.621 7.794
Pt 2.091 4.650 0.784
```

Least stable: (x)

(w)
VASP calculation (PBE-GGA) on a relaxed structure of Bi3PtW.

N(E_F) in states/eV/f.u.: 2.3

The structure in extended XYZ format:
```
5
Lattice="5.303 0.000 0.000 0.000 5.303 0.000 0.000 0.000 5.303" Properties=species:S:1:pos:R:3 pbc="T T T"
W 0.000 0.000 0.000
Pt 2.652 2.652 2.652
Bi 0.000 2.652 0.000
Bi 0.000 0.000 2.652
Bi 2.652 0.000 0.000
```

(x)
VASP calculation (PBE-GGA) on a relaxed structure of Bi3PtW.

N(E_F) in states/eV/f.u.: 3.0

The structure in extended XYZ format:
```
5
Lattice="5.359 0.000 0.000 0.000 5.359 0.000 0.000 0.000 5.359" Properties=species:S:1:pos:R:3 pbc="T T T"
Bi 2.680 0.000 0.000
Bi 0.000 2.680 0.000
Bi 0.000 0.000 2.680
W 2.680 2.680 2.680
Pt 0.000 0.000 0.000
```

Least stable: (x)

(w)
VASP calculation (PBE-GGA) on a relaxed structure of ZnBiPt3.

N(E_F) in states/eV/f.u.: 2.6

The structure in extended XYZ format:
```
5
Lattice="4.689 0.000 0.000 0.000 4.689 0.000 0.000 0.000 4.689" Properties=species:S:1:pos:R:3 pbc="T T T"
Pt 0.000 0.000 2.344
Pt 2.344 0.000 0.000
Pt 0.000 2.344 0.000
Zn 0.000 0.000 0.000
Bi 2.344 2.344 2.344
```

(x)
VASP calculation (PBE-GGA) on a relaxed structure of ZnBiPt3.

N(E_F) in states/eV/f.u.: 4.7

The structure in extended XYZ format:
```
5
Lattice="-2.931 -0.766 -4.083 3.848 -2.384 -2.315 -1.566 -4.425 1.954" Properties=species:S:1:pos:R:3 pbc="T T T"
Zn -0.324 -3.788 -2.222
Bi 0.000 0.000 0.000
Pt -0.783 -2.213 0.977
Pt -1.466 -0.383 -2.042
Pt 1.924 -1.192 -1.158
```

Least stable: (x)

(w)
VASP calculation (PBE-GGA) on a relaxed structure of Zr3BiPt.

N(E_F) in states/eV/f.u.: 6.1

The structure in extended XYZ format:
```
5
Lattice="-2.836 -4.446 0.539 2.625 -1.133 4.464 -3.629 2.655 2.808" Properties=species:S:1:pos:R:3 pbc="T T T"
Zr -1.814 1.327 1.404
Zr -1.418 -2.223 0.270
Zr 1.313 -0.566 2.232
Bi 0.000 0.000 0.000
Pt -1.919 -1.462 3.905
```

(x)
VASP calculation (PBE-GGA) on a relaxed structure of Zr3BiPt.

N(E_F) in states/eV/f.u.: 4.7

The structure in extended XYZ format:
```
5
Lattice="-2.163 -1.601 -4.380 2.181 -4.615 0.610 -4.122 -1.601 2.621" Properties=species:S:1:pos:R:3 pbc="T T T"
Bi -2.052 -3.909 -0.574
Zr -1.081 -0.801 -2.190
Zr 1.090 -2.307 0.305
Zr -2.061 -0.801 1.310
Pt 0.000 0.000 0.000
```

Least stable: (w)

(w)
VASP calculation (PBE-GGA) on a relaxed structure of RbPuBi2.

N(E_F) in states/eV/f.u.: 9.2

The structure in extended XYZ format:
```
4
Lattice="-2.016 1.847 2.357 -2.962 -1.644 -1.246 1.242 -7.492 6.932" Properties=species:S:1:pos:R:3 pbc="T T T"
Bi 0.275 -1.659 1.535
Bi 0.967 -5.833 5.397
Pu -2.489 0.101 0.555
Rb -1.868 -3.645 4.021
```

(x)
VASP calculation (PBE-GGA) on a relaxed structure of RbPuBi2.

N(E_F) in states/eV/f.u.: 17.4

The structure in extended XYZ format:
```
4
Lattice="-1.972 -2.333 3.690 2.711 -2.793 2.792 1.876 4.954 7.243" Properties=species:S:1:pos:R:3 pbc="T T T"
Rb 1.319 -0.041 6.897
Bi 1.578 3.736 6.314
Bi 0.539 -0.514 3.072
Pu 2.364 1.515 11.548
```

Least stable: (x)